Record 1
# Na2ScGe3Pt4

An optimized crystal structure of Na2ScGe3Pt4 (PBE, Alexandria via LeMat-Bulk).

Geometry as POSCAR:
```
Na2ScGe3Pt4
1.0
-4.0321 -0.9596 0.2443
0.4957 -1.0693 3.9811
-2.2988 10.4458 3.0919
Na Sc Ge Pt
2 1 3 4
direct
0.5000 0.0000 0.2391 Na
0.0000 0.5000 0.7609 Na
0.5000 0.5000 0.5000 Sc
0.0000 0.0000 0.5000 Ge
0.5000 0.0000 0.8667 Ge
0.0000 0.5000 0.1333 Ge
0.5000 0.5000 0.0000 Pt
0.0000 0.0000 0.0000 Pt
0.5000 0.0000 0.6464 Pt
0.0000 0.5000 0.3536 Pt
```

Calculated values
- magnetic moment (μB/atom) = 0.000
- DOS at the Fermi energy (states/eV/atom) = 0.59
- total energy (Ha/atom) = -0.19548


Record 2
# Na2Si3GePt4

An optimized crystal structure of Na2Si3GePt4 (PBE, Alexandria via LeMat-Bulk).

Geometry as POSCAR:
```
Na2Si3GePt4
1.0
4.1898 0.0000 0.0000
0.0000 4.1898 0.0000
0.0000 0.0000 10.1326
Na Si Ge Pt
2 3 1 4
direct
0.5000 0.0000 0.2480 Na
0.0000 0.5000 0.7520 Na
0.0000 0.0000 0.5000 Si
0.5000 0.0000 0.8723 Si
0.0000 0.5000 0.1277 Si
0.5000 0.5000 0.5000 Ge
0.5000 0.5000 0.0000 Pt
0.0000 0.0000 0.0000 Pt
0.5000 0.0000 0.6349 Pt
0.0000 0.5000 0.3651 Pt
```

Calculated values
- magnetic moment (μB/atom) = 0.000
- DOS at the Fermi energy (states/eV/atom) = 0.51
- total energy (Ha/atom) = -0.19674
- formation energy (no corrections) (eV/atom) = -0.58


Record 3
# Na2Si2GePt5

An optimized crystal structure of Na2Si2GePt5 (PBE, Alexandria via LeMat-Bulk).

Geometry as POSCAR:
```
Na2Si2GePt5
1.0
3.3285 0.0000 0.0000
0.0000 9.9772 0.0000
0.0000 0.0000 9.9772
Na Si Ge Pt
4 4 2 10
direct
0.0000 0.6744 0.1744 Na
0.0000 0.3256 0.8256 Na
0.0000 0.1744 0.3256 Na
0.0000 0.8256 0.6744 Na
0.0000 0.1293 0.6293 Si
0.0000 0.8707 0.3707 Si
0.0000 0.6293 0.8707 Si
0.0000 0.3707 0.1293 Si
0.0000 0.0000 0.0000 Ge
0.0000 0.5000 0.5000 Ge
0.5000 0.2076 0.0600 Pt
0.5000 0.7924 0.9400 Pt
0.5000 0.0600 0.7924 Pt
0.5000 0.7076 0.4400 Pt
0.5000 0.9400 0.2076 Pt
0.5000 0.2924 0.5600 Pt
0.5000 0.5600 0.7076 Pt
0.5000 0.4400 0.2924 Pt
0.5000 0.5000 0.0000 Pt
0.5000 0.0000 0.5000 Pt
```

Calculated values
- magnetic moment (μB/atom) = 0.000
- DOS at the Fermi energy (states/eV/atom) = 0.34
- total energy (Ha/atom) = -0.19620
- formation energy (no corrections) (eV/atom) = -0.51


Record 4
# NaSm2Ge4Pt3

An optimized crystal structure of NaSm2Ge4Pt3 (PBE, Alexandria via LeMat-Bulk).

Geometry as POSCAR:
```
NaSm2Ge4Pt3
1.0
4.3331 0.0000 0.0000
0.0000 4.3331 0.0000
0.0000 0.0000 10.5713
Na Sm Ge Pt
1 2 4 3
direct
0.5000 0.5000 0.5000 Na
0.5000 0.0000 0.2446 Sm
0.0000 0.5000 0.7554 Sm
0.5000 0.5000 0.0000 Ge
0.0000 0.0000 0.0000 Ge
0.5000 0.0000 0.6458 Ge
0.0000 0.5000 0.3542 Ge
0.0000 0.0000 0.5000 Pt
0.5000 0.0000 0.8780 Pt
0.0000 0.5000 0.1220 Pt
```

Calculated values
- magnetic moment (μB/atom) = 0.000
- DOS at the Fermi energy (states/eV/atom) = 0.54
- total energy (Ha/atom) = -0.20067


Record 5
# Na2SnGe3Pt4

An optimized crystal structure of Na2SnGe3Pt4 (PBE, Alexandria via LeMat-Bulk).

Geometry as POSCAR:
```
Na2SnGe3Pt4
1.0
-2.4457 -1.1581 -3.3988
0.5546 -4.1849 1.0268
-8.6440 0.3511 6.1004
Na Sn Ge Pt
2 1 3 4
direct
0.5000 0.0000 0.2388 Na
0.0000 0.5000 0.7612 Na
0.5000 0.5000 0.5000 Sn
0.0000 0.0000 0.5000 Ge
0.5000 0.0000 0.8755 Ge
0.0000 0.5000 0.1245 Ge
0.5000 0.5000 0.0000 Pt
0.0000 0.0000 0.0000 Pt
0.5000 0.0000 0.6433 Pt
0.0000 0.5000 0.3567 Pt
```

Calculated values
- magnetic moment (μB/atom) = 0.000
- DOS at the Fermi energy (states/eV/atom) = 0.52
- total energy (Ha/atom) = -0.18138


Record 6
# NaSr2Ge4Pt3

An optimized crystal structure of NaSr2Ge4Pt3 (PBE, Alexandria via LeMat-Bulk).

Geometry as POSCAR:
```
NaSr2Ge4Pt3
1.0
-1.9012 -2.7283 -3.0197
-2.1983 -2.1164 3.2962
-7.9437 6.6636 -1.0193
Na Sr Ge Pt
1 2 4 3
direct
0.5000 0.5000 0.5000 Na
0.5000 0.0000 0.2432 Sr
0.0000 0.5000 0.7568 Sr
0.5000 0.5000 0.0000 Ge
0.0000 0.0000 0.0000 Ge
0.5000 0.0000 0.6420 Ge
0.0000 0.5000 0.3580 Ge
0.0000 0.0000 0.5000 Pt
0.5000 0.0000 0.8811 Pt
0.0000 0.5000 0.1189 Pt
```

Calculated values
- magnetic moment (μB/atom) = 0.000
- DOS at the Fermi energy (states/eV/atom) = 0.51
- total energy (Ha/atom) = -0.17467


Question: Among the records above, which one has the lowest DOS at the Fermi energy?
Answer: Na2Si2GePt5